Below is a relaxed structure of Al2TlAg, with properties calculated at the GGA-PBE level.

## Properties
magnetization: 0.00 μB per formula unit
energy relative to the elements: 250 meV per atom
SG: I-42d, No. 122

Lattice parameters (Å, degrees): 4.453 4.453 9.512 76.46 76.46 90.00
Element x y z (fractional)
Tl1 0.000 0.000 0.000
Tl2 0.750 0.250 0.500
Al1 0.569 0.125 0.250
Al2 0.181 0.625 0.250
Al3 0.375 0.431 0.750
Al4 0.875 0.819 0.750
Ag1 0.500 0.500 0.000
Ag2 0.250 0.750 0.500

***

Below is a relaxed structure of BeNbV2, with properties calculated at the GGA-PBE level.

## Properties
magnetization: 0.00 μB per formula unit
energy relative to the elements: 461 meV per atom
SG: I-42d, No. 122

Lattice parameters (Å, degrees): 6.838 6.838 5.408 50.78 50.78 90.00
Element x y z (fractional)
Be1 0.500 0.500 0.000
Be2 0.250 0.750 0.500
Nb1 0.000 0.000 0.000
Nb2 0.750 0.250 0.500
V1 0.588 0.125 0.250
V2 0.162 0.625 0.250
V3 0.375 0.412 0.750
V4 0.875 0.838 0.750

***

Below is a relaxed structure of Sc2PtPb, with properties calculated at the GGA-PBE level.

## Properties
magnetization: 0.00 μB per formula unit
energy relative to the elements: -658 meV per atom
SG: R-3m, No. 166

Lattice parameters (Å, degrees): 8.350 8.350 8.350 25.36 25.36 25.36
Element x y z (fractional)
Pb1 0.250 0.250 0.250
Pt1 0.750 0.750 0.750
Sc1 0.016 0.016 0.016
Sc2 0.484 0.484 0.484

***

Below is a relaxed structure of KSi2Hg, with properties calculated at the GGA-PBE level.

## Properties
magnetization: 0.00 μB per formula unit
SG: Immm, No. 71
formation energy without anion corrections: 554 meV/atom

Lattice parameters (Å, degrees): 6.152 6.152 6.152 149.15 124.83 64.56
Element x y z (fractional)
Hg1 0.250 0.750 0.500
K1 0.750 0.250 0.500
Si1 0.035 0.035 0.000
Si2 0.465 0.465 0.000

***

Below is a relaxed structure of PmLuGa2, with properties calculated at the GGA-PBE level.

## Properties
magnetization: 0.00 μB per formula unit
energy relative to the elements: -569 meV per atom
SG: P4/mmm, No. 123

Lattice parameters (Å, degrees): 3.586 3.586 7.145 90.00 90.00 90.00
Element x y z (fractional)
Lu1 0.500 0.500 0.000
Ga1 0.000 0.000 0.769
Ga2 0.000 0.000 0.231
Pm1 0.500 0.500 0.500

***

Below is a relaxed structure of LiScTc, with properties calculated at the GGA-PBE level.

## Properties
magnetization: 0.00 μB per formula unit
energy relative to the elements: 193 meV per atom
SG: Fmm2, No. 42

Lattice parameters (Å, degrees): 7.438 7.232 2.856 82.87 74.74 22.39
Element x y z (fractional)
Li1 0.985 0.985 0.015
Sc1 0.685 0.685 0.315
Tc1 0.330 0.330 0.670

***

Below is a relaxed structure of Tc3RhC, with properties calculated at the GGA-PBE level.

## Properties
magnetization: 0.00 μB per formula unit
energy relative to the elements: 148 meV per atom
SG: Pm-3m, No. 221

Lattice parameters (Å, degrees): 4.045 4.045 4.045 90.00 90.00 90.00
Element x y z (fractional)
C1 0.000 0.000 0.000
Rh1 0.500 0.500 0.500
Tc1 0.000 0.500 0.000
Tc2 0.000 0.000 0.500
Tc3 0.500 0.000 0.000

***

Below is a relaxed structure of CaMn2Te, with properties calculated at the GGA-PBE level.

## Properties
magnetization: 7.92 μB per formula unit
SG: P4/mmm, No. 123
formation energy without anion corrections: 192 meV/atom

Lattice parameters (Å, degrees): 3.873 3.873 6.034 90.00 90.00 89.97
Element x y z (fractional)
Ca1 0.500 0.500 0.750
Te1 0.500 0.500 0.250
Mn1 0.000 0.000 0.017
Mn2 0.000 0.000 0.483

***

Please write out number 1 again, unchanged.
Below is a relaxed structure of Al2TlAg, with properties calculated at the GGA-PBE level.

## Properties
magnetization: 0.00 μB per formula unit
energy relative to the elements: 250 meV per atom
SG: I-42d, No. 122

Lattice parameters (Å, degrees): 4.453 4.453 9.512 76.46 76.46 90.00
Element x y z (fractional)
Tl1 0.000 0.000 0.000
Tl2 0.750 0.250 0.500
Al1 0.569 0.125 0.250
Al2 0.181 0.625 0.250
Al3 0.375 0.431 0.750
Al4 0.875 0.819 0.750
Ag1 0.500 0.500 0.000
Ag2 0.250 0.750 0.500

***

- Which value of magnetization does entry 3 give?
  0.00 μB per formula unit

***

- What is the formula in the third record?
  Sc2PtPb